Record 1
The following is a DFT calculation (GGA-PBEsol) of crystalline YCd2In2 at its relaxed geometry.

Results
Symmetry: I4/mmm
Crystal system: tetragonal
DFT formation energy: -203 meV per atom

Lattice parameters (Å, degrees): 4.4018 4.4018 6.9205 108.54 108.54 90.00
Atoms (fractional coordinates):
Cd1 0.6050 0.6050 0.2100
Cd2 0.3950 0.3950 0.7900
In1 0.2500 0.7500 0.5000
In2 0.7500 0.2500 0.5000
Y1 0.0000 0.0000 0.0000



Record 2
The following is a DFT calculation (GGA-PBEsol) of crystalline K8LaP4S16 at its relaxed geometry.

Results
Symmetry: I222
Crystal system: orthorhombic
Total DFT energy (no corrections): -4.688 eV per atom

Lattice parameters (Å, degrees): 8.6791 9.7570 11.1112 116.04 112.99 90.00
Atoms (fractional coordinates):
K1 0.7522 0.2522 0.5043
K2 0.2478 0.7478 0.4957
K3 0.2133 0.2133 0.4266
K4 0.7867 0.7867 0.5734
K5 0.7112 0.3248 0.1631
K6 0.2888 0.1617 0.8369
K7 0.5481 0.6752 0.8369
K8 0.4519 0.8383 0.1631
La1 0.0000 0.5000 0.0000
P1 0.0832 0.6146 0.7463
P2 0.9168 0.8682 0.2537
P3 0.3369 0.3854 0.2537
P4 0.6631 0.1318 0.7463
S1 0.2302 0.5062 0.8578
S2 0.7698 0.6483 0.1422
S3 0.3724 0.4938 0.1422
S4 0.6276 0.3517 0.8578
S5 0.7822 0.0010 0.1689
S6 0.2178 0.8320 0.8311
S7 0.6133 0.9990 0.8311
S8 0.3867 0.1680 0.1689
S9 0.0198 0.5008 0.5248
S10 0.9802 0.9760 0.4752
S11 0.4950 0.4992 0.4752
S12 0.5050 0.0240 0.5248
S13 0.9140 0.1652 0.7824
S14 0.0860 0.3828 0.2176
S15 0.1316 0.8348 0.2176
S16 0.8684 0.6172 0.7824